Entry 1:
## Tl2Bi5Au3 (GGA-PBE)

Data for a relaxed Tl2Bi5Au3 crystal.

Cell: 4.6742 7.9814 15.2620 Å, 90.00 98.81 90.00°
Fractional coordinates of all 20 atoms:
Tl1 0.4781 0.7756 0.9563
Tl2 0.1672 0.7053 0.3343
Tl3 0.8328 0.2053 0.6657
Tl4 0.5219 0.2756 0.0437
Bi1 0.4029 0.4152 0.8057
Bi2 0.2943 0.4968 0.5885
Bi3 0.7057 0.9968 0.4115
Bi4 0.1210 0.2378 0.2420
Bi5 0.2925 0.9358 0.5849
Bi6 0.9457 0.1049 0.8914
Bi7 0.7075 0.4358 0.4151
Bi8 0.8790 0.7378 0.7580
Bi9 0.0543 0.6049 0.1086
Bi10 0.5971 0.9152 0.1943
Au1 0.7762 0.7160 0.5524
Au2 0.6084 0.4885 0.2169
Au3 0.0388 0.9888 0.0775
Au4 0.2238 0.2160 0.4476
Au5 0.9612 0.4888 0.9225
Au6 0.3916 0.9885 0.7831

Summary:
formation energy from the elements = -0.027 eV/atom
DOS(E_F) = 0.4342 states/eV per atom
total magnetic moment = 0.000 μB per cell
calculated total energy = -0.1258 Ha/atom


Entry 2:
## Tl6BiAu3 (GGA-PBE)

Data for a relaxed Tl6BiAu3 crystal.

Cell: 4.7862 10.4540 12.6976 Å, 113.11 90.00 90.00°
Fractional coordinates of all 20 atoms:
Tl1 0.7500 0.4605 0.5809
Tl2 0.2500 0.5395 0.4191
Tl3 0.7500 0.8604 0.1055
Tl4 0.2500 0.1396 0.8945
Tl5 0.7500 0.3898 0.0349
Tl6 0.2500 0.6102 0.9651
Tl7 0.7500 0.7020 0.2960
Tl8 0.2500 0.2980 0.7040
Tl9 0.7500 0.1125 0.4728
Tl10 0.2500 0.8875 0.5272
Tl11 0.7500 0.7836 0.8084
Tl12 0.2500 0.2164 0.1916
Bi1 0.7500 0.0445 0.7037
Bi2 0.2500 0.9555 0.2963
Au1 0.7500 0.4708 0.8241
Au2 0.2500 0.5292 0.1759
Au3 0.7500 0.7247 0.5511
Au4 0.2500 0.2753 0.4489
Au5 0.7500 0.1012 0.0370
Au6 0.2500 0.8988 0.9630

Summary:
formation energy from the elements = 0.007 eV/atom
DOS(E_F) = 0.3301 states/eV per atom
total magnetic moment = 0.000 μB per cell
calculated total energy = -0.1023 Ha/atom